[1]
A plane-wave DFT calculation with PBE-GGA was carried out for a geometry-optimized Ti2ReMo structure.

Summary:
**Formation energy from the elements**: 0.49 eV per atom

Unit cell a=2.733 b=4.760 c=10.352 alpha=90.00 beta=90.00 gamma=90.00
Space group Immm (No. 71)
One atom of each set of equivalent atoms:
Ti: 0.000 0.000 0.246
Re: 0.000 0.000 0.000
Mo: 0.000 0.000 0.500

---

[2]
A plane-wave DFT calculation with PBE-GGA was carried out for a geometry-optimized Ac2La4Hg structure.

Summary:
**Formation energy from the elements**: 0.00 eV per atom

Unit cell a=17.889 b=3.786 c=8.877 alpha=90.00 beta=117.59 gamma=90.00
Space group C2/m (No. 12)
One atom of each set of equivalent atoms:
Ac: 0.217 0.000 0.154
La: 0.082 0.000 0.696
La: 0.111 0.500 0.364
Hg: 0.000 0.000 0.000

---

[3]
A plane-wave DFT calculation with PBE-GGA was carried out for a geometry-optimized BaLa2WN4 structure.

Summary:
**ΔE_f (raw)**: -0.948 eV per atom

Unit cell a=3.637 b=13.009 c=12.720 alpha=90.00 beta=90.00 gamma=90.00
Space group Cmcm (No. 63)
One atom of each set of equivalent atoms:
Ba: 0.000 0.082 0.250
La: 0.000 0.371 0.037
W: 0.000 0.180 0.750
N: 0.000 0.000 0.000
N: 0.000 0.259 0.626
N: 0.000 0.390 0.250